Below is a relaxed structure of SmDy4Ag5, with properties calculated at the PBE-GGA level.

Properties
The energy of formation from the pure elements is -0.3161 eV/atom. The symmetry is P4/mmm. The magnetization is 0.0 μB per cell. Its crystal system is tetragonal.

Unit cell a=3.6191 b=3.6191 c=18.5567 alpha=90.00 beta=90.00 gamma=90.00
Positions (direct):
Sm1 0.0000 0.0000 0.0000
Dy1 0.0000 0.0000 0.2028
Dy2 0.0000 0.0000 0.4009
Dy3 0.0000 0.0000 0.5991
Dy4 0.0000 0.0000 0.7972
Ag1 0.5000 0.5000 0.1060
Ag2 0.5000 0.5000 0.3019
Ag3 0.5000 0.5000 0.5000
Ag4 0.5000 0.5000 0.6981
Ag5 0.5000 0.5000 0.8940